The following is a DFT calculation (PBE-GGA) of an optimized crystal structure of RbSrHgAs.

As for the formation enthalpy at 0 K: -0.527 eV/atom.

The structure in CIF format:
```
data_RbSrHgAs
_symmetry_space_group_name_H-M 'P 1'
_symmetry_Int_Tables_number 1
_symmetry_space_group_name_Hall 'P 1'
_cell_length_a 5.670
_cell_length_b 5.670
_cell_length_c 5.670
_cell_angle_alpha 60.00
_cell_angle_beta 60.00
_cell_angle_gamma 60.00
loop_
_atom_site_label
_atom_site_type_symbol
_atom_site_fract_x
_atom_site_fract_y
_atom_site_fract_z
Rb1 Rb 0.000 0.000 0.000
Hg1 Hg 0.250 0.250 0.250
As1 As 0.750 0.750 0.750
Sr1 Sr 0.500 0.500 0.500
```